VASP calculation (PBE+U) on crystalline LaMn2CdO6 at its relaxed geometry.

## Properties
crystal system = trigonal
V = 350.1 Å³/cell
E_tot = -6.95 eV per atom

Structure (CIF):
```
data_LaMn2CdO6
_chemical_formula_sum 'La3 Mn6 Cd3 O18'
_symmetry_space_group_name_H-M 'R 3 2'
_symmetry_Int_Tables_number 155
_symmetry_space_group_name_Hall 'R 3 2"'
_cell_length_a 5.4974
_cell_length_b 5.4974
_cell_length_c 13.3780
_cell_angle_alpha 90.00
_cell_angle_beta 90.00
_cell_angle_gamma 120.00
loop_
_atom_site_label
_atom_site_type_symbol
_atom_site_fract_x
_atom_site_fract_y
_atom_site_fract_z
La1 La 0.0000 0.0000 0.0000
Mn1 Mn 0.0000 0.0000 0.2504
Cd1 Cd 0.0000 0.0000 0.5000
O1 O 0.0000 0.4169 0.5000
O2 O 0.0000 0.5662 0.0000
```